! HfRu3C (PBE-GGA, relaxed); values from VASP
&SYSTEM
  ibrav = 0, nat = 20, ntyp = 3
/
ATOMIC_SPECIES
Hf 178.49 Hf.upf
Ru 101.07 Ru.upf
C 12.01 C.upf
CELL_PARAMETERS angstrom
13.858 0.000 -1.706
6.162 3.857 -3.413
-6.162 3.857 3.413
ATOMIC_POSITIONS angstrom
Hf 0.383 4.777 1.280
Ru 2.983 3.462 1.337
Ru 10.874 4.251 -3.043
Ru 8.983 4.657 -1.008
C 1.353 3.014 0.179
Ru 4.317 5.490 -0.285
Ru 2.054 6.913 -0.155
Ru 11.641 3.462 -0.484
Ru 4.875 3.056 -0.698
Ru 2.217 4.251 -1.223
Ru 11.804 0.801 -1.551
Ru 11.246 6.080 -1.139
Hf 13.474 2.936 -2.986
Hf 6.545 5.045 -2.133
C 12.504 4.699 -1.885
C 8.282 0.843 -0.674
Ru 2.612 1.633 -0.568
Hf 7.312 2.668 0.427
C 5.575 6.871 -1.032
Ru 9.540 2.223 -1.421
! Energy relative to the elements ... -0.0612 eV per atom
! Symmetry ... C2/c, No. 15
! ρ ... 11.6 g cm⁻³

=====

! HfRu3C (PBE-GGA, relaxed); values from VASP
&SYSTEM
  ibrav = 0, nat = 10, ntyp = 3
/
ATOMIC_SPECIES
Ru 101.07 Ru.upf
C 12.01 C.upf
Hf 178.49 Hf.upf
CELL_PARAMETERS angstrom
-2.309 -3.411 -2.666
-0.489 -2.796 4.002
-7.108 -0.251 1.963
ATOMIC_POSITIONS angstrom
Ru -5.906 -3.166 4.651
C -4.498 -3.076 3.316
Hf -7.673 -2.252 0.496
Ru -3.821 -4.606 2.330
C 0.000 0.000 0.000
Ru -2.615 -2.825 3.722
Ru -5.651 -1.706 2.562
Ru -6.556 -4.330 2.188
Hf -3.143 -4.514 -0.531
Ru -3.350 -2.129 1.110
! Energy relative to the elements ... 0.2501 eV per atom
! Symmetry ... I-4m2, No. 119
! ρ ... 10.5 g cm⁻³

=====

! HfRu3C (PBE-GGA, relaxed); values from VASP
&SYSTEM
  ibrav = 0, nat = 10, ntyp = 3
/
ATOMIC_SPECIES
Ru 101.07 Ru.upf
C 12.01 C.upf
Hf 178.49 Hf.upf
CELL_PARAMETERS angstrom
5.036 0.000 0.000
-1.820 4.695 0.000
1.608 2.348 5.802
ATOMIC_POSITIONS angstrom
Ru 3.576 3.855 2.749
Ru 1.100 3.825 4.206
Ru 4.558 1.391 1.305
C 1.769 5.091 5.699
C 0.161 2.743 2.713
Ru 2.709 6.172 4.207
Ru 1.192 3.828 1.306
Ru 0.147 6.201 5.664
Hf 3.690 3.775 5.530
Hf 2.082 1.428 2.883
! Energy relative to the elements ... -0.2214 eV per atom
! Symmetry ... Fmm2, No. 42
! ρ ... 12.0 g cm⁻³